# Na2CrAgP | Alexandria | PBE-GGA | relaxed
# Formation energy from the elements: 5.46 eV per formula unit
# ρ: 2.73 g/cm³
# Calculated total energy: -3.012 eV/atom
data_Na2CrAgP
_chemical_formula_sum 'Na2 Cr1 Ag1 P1'
_cell_length_a 5.356
_cell_length_b 5.356
_cell_length_c 5.018
_cell_angle_alpha 90.00
_cell_angle_beta 90.00
_cell_angle_gamma 90.00
_space_group_name_H-M_alt 'P 4/m m m'
_space_group_IT_number 123
_space_group_name_Hall '-P 4 2'
loop_
_atom_site_label
_atom_site_type_symbol
_atom_site_fract_x
_atom_site_fract_y
_atom_site_fract_z
Na1 Na 0.000 0.500 0.000
Cr1 Cr 0.000 0.000 0.000
Ag1 Ag 0.000 0.000 0.500
P1 P 0.500 0.500 0.500